Material: RbIr2Pb2
Method: DFT, PBE
State: optimized geometry

Properties
crystal system	tetragonal
energy	-5.066	eV per atom
energy of formation from the pure elements	0.775	eV per formula unit

abc: 4.013 4.013 17.506
angles: 90.00 90.00 90.00
Space group I4/mmm (No. 139)
Unique sites:
Rb 0.000 0.000 0.000
Ir 0.000 0.500 0.250
Pb 0.000 0.000 0.358